This record from Alexandria describes a geometry-optimized CdNOF2 structure. The functional is GGA-PBEsol.

a b c (Å): 4.2434 4.2434 4.7272
angles (deg): 90.00 90.00 90.00
Site moments in Bohr magnetons follow the coordinates.
Positions (direct):
F 0.5000 0.0000 0.0000  0.14
Cd 0.0000 0.0000 0.0000  0.13
F 0.0000 0.5000 0.0000  0.14
O 0.5000 0.5000 0.5000  1.59
N 0.0000 0.0000 0.5000  1.76

uncorrected formation energy = 0.60 eV/atom
size of the total moment = 5.0 μB/f.u.